! AlCuB4 PBE optimized geometry; values from VASP
&SYSTEM
  ibrav = 0, nat = 6, ntyp = 3
/
ATOMIC_SPECIES
B 10.81 B.upf
Al 26.98 Al.upf
Cu 63.55 Cu.upf
CELL_PARAMETERS angstrom
-2.739 -0.208 -1.223
1.440 -2.483 0.893
-2.678 0.568 5.901
ATOMIC_POSITIONS angstrom
B -1.986 -1.294 4.668
B -3.379 -0.535 3.963
Al 0.000 0.000 0.000
Cu -1.339 0.284 2.951
B -1.991 -0.830 0.903
B -0.598 -1.588 1.608
! - E above lowest polymorph (eV per atom) = 0.000

=====

! AlCuB4 PBE optimized geometry; values from VASP
&SYSTEM
  ibrav = 0, nat = 6, ntyp = 3
/
ATOMIC_SPECIES
B 10.81 B.upf
Al 26.98 Al.upf
Cu 63.55 Cu.upf
CELL_PARAMETERS angstrom
3.683 0.339 2.440
-1.714 -1.988 3.570
1.144 -0.920 -4.181
ATOMIC_POSITIONS angstrom
B 3.718 -0.792 0.298
B 2.069 -0.593 0.893
B -0.605 -1.777 1.531
Al 0.984 -0.824 3.005
B 1.043 -1.975 0.936
Cu 0.000 0.000 0.000
! - E above lowest polymorph (eV per atom) = 0.019

=====

! AlCu2BS4 PBE optimized geometry; values from VASP
&SYSTEM
  ibrav = 0, nat = 8, ntyp = 4
/
ATOMIC_SPECIES
S 32.06 S.upf
Cu 63.55 Cu.upf
B 10.81 B.upf
Al 26.98 Al.upf
CELL_PARAMETERS angstrom
-0.404 0.388 6.110
-4.339 4.158 1.233
-0.158 -4.913 -3.671
ATOMIC_POSITIONS angstrom
S -4.403 1.695 4.521
Cu -3.435 0.759 0.617
S -0.902 0.548 3.885
B -1.467 -1.126 3.055
S -1.793 -0.821 1.155
Cu 0.000 0.000 0.000
S -2.705 -2.155 -2.217
Al -2.372 2.273 3.672
! - final energy (eV/cell) = -38.95

=====

! DyAlB PBE optimized geometry; values from VASP
&SYSTEM
  ibrav = 0, nat = 3, ntyp = 3
/
ATOMIC_SPECIES
Dy 162.50 Dy.upf
B 10.81 B.upf
Al 26.98 Al.upf
CELL_PARAMETERS angstrom
0.000 3.002 3.002
3.002 0.000 3.002
3.002 3.002 0.000
ATOMIC_POSITIONS angstrom
Dy 4.503 4.503 4.503
B 1.501 1.501 1.501
Al 0.000 0.000 0.000
! - E above lowest polymorph (eV per atom) = 0.819

=====

! DyAlB PBE optimized geometry; values from VASP
&SYSTEM
  ibrav = 0, nat = 3, ntyp = 3
/
ATOMIC_SPECIES
Dy 162.50 Dy.upf
B 10.81 B.upf
Al 26.98 Al.upf
CELL_PARAMETERS angstrom
0.000 2.937 2.937
2.937 0.000 2.937
2.937 2.937 0.000
ATOMIC_POSITIONS angstrom
Dy 2.937 2.937 2.937
B 4.405 4.405 4.405
Al 0.000 0.000 0.000
! - E above lowest polymorph (eV per atom) = 0.000

=====

! ErAlB PBE optimized geometry; values from VASP
&SYSTEM
  ibrav = 0, nat = 3, ntyp = 3
/
ATOMIC_SPECIES
Er 167.26 Er.upf
B 10.81 B.upf
Al 26.98 Al.upf
CELL_PARAMETERS angstrom
0.000 2.984 2.984
2.984 0.000 2.984
2.984 2.984 0.000
ATOMIC_POSITIONS angstrom
Er 4.477 4.477 4.477
B 1.492 1.492 1.492
Al 0.000 0.000 0.000
! - E above lowest polymorph (eV per atom) = 0.848